# GGA-PBE La3Tb2Sm7, optimized geometry
# **Fermi-level density of states**: 20.1 states/eV per cell
# **Energy**: -4.498 eV per atom
# **Total magnetization**: 0.000 μB per cell
data_La3Tb2Sm7
_symmetry_space_group_name_H-M 'P 1'
_symmetry_Int_Tables_number 1
_symmetry_space_group_name_Hall 'P 1'
_cell_length_a 6.647
_cell_length_b 6.647
_cell_length_c 12.053
_cell_angle_alpha 73.99
_cell_angle_beta 73.99
_cell_angle_gamma 60.00
loop_
_atom_site_label
_atom_site_fract_x
_atom_site_fract_y
_atom_site_fract_z
_atom_site_occupancy
Sm1 0.919 0.415 0.251 1
Sm2 0.415 0.415 0.251 1
Sm3 0.081 0.585 0.749 1
Sm4 0.585 0.081 0.749 1
Sm5 0.415 0.919 0.251 1
Sm6 0.500 0.500 0.500 1
Sm7 0.585 0.585 0.749 1
Tb1 0.334 0.334 0.999 1
Tb2 0.666 0.666 0.001 1
La1 0.153 0.153 0.541 1
La2 0.000 0.000 0.000 1
La3 0.847 0.847 0.459 1


# GGA-PBE La5TbSm3, optimized geometry
# **Fermi-level density of states**: 25.7 states/eV per cell
# **Energy**: -4.590 eV per atom
# **Energy above the most stable polymorph in this dataset**: 0 meV per atom
# **Total magnetization**: 0.001 μB per cell
data_La5TbSm3
_symmetry_space_group_name_H-M 'P 1'
_symmetry_Int_Tables_number 1
_symmetry_space_group_name_Hall 'P 1'
_cell_length_a 6.426
_cell_length_b 11.157
_cell_length_c 11.838
_cell_angle_alpha 124.12
_cell_angle_beta 90.00
_cell_angle_gamma 106.74
loop_
_atom_site_label
_atom_site_fract_x
_atom_site_fract_y
_atom_site_fract_z
_atom_site_occupancy
La1 0.417 0.000 0.750 1
La2 0.822 0.280 0.120 1
La3 0.458 0.280 0.620 1
La4 0.991 0.358 0.522 1
La5 0.583 0.000 0.250 1
La6 0.542 0.720 0.380 1
La7 0.009 0.642 0.478 1
La8 0.178 0.720 0.880 1
La9 0.634 0.642 0.978 1
La10 0.366 0.358 0.022 1
Tb1 0.099 0.000 0.250 1
Tb2 0.901 0.000 0.750 1
Sm1 0.940 0.349 0.827 1
Sm2 0.591 0.651 0.673 1
Sm3 0.000 0.000 0.000 1
Sm4 0.409 0.349 0.327 1
Sm5 0.000 0.000 0.500 1
Sm6 0.060 0.651 0.173 1


# GGA-PBE La5Tb2Sm6, optimized geometry
# **Fermi-level density of states**: 33.0 states/eV per cell
# **Energy**: -4.700 eV per atom
# **Total magnetization**: 0.000 μB per cell
data_La5Tb2Sm6
_symmetry_space_group_name_H-M 'P 1'
_symmetry_Int_Tables_number 1
_symmetry_space_group_name_Hall 'P 1'
_cell_length_a 3.670
_cell_length_b 11.859
_cell_length_c 21.028
_cell_angle_alpha 90.00
_cell_angle_beta 90.00
_cell_angle_gamma 90.00
loop_
_atom_site_label
_atom_site_fract_x
_atom_site_fract_y
_atom_site_fract_z
_atom_site_occupancy
La1 0.500 0.199 0.949 1
La2 0.500 0.699 0.551 1
La3 0.500 0.582 0.272 1
La4 0.500 0.082 0.228 1
La5 0.500 0.918 0.772 1
La6 0.500 0.500 0.000 1
La7 0.500 0.801 0.051 1
La8 0.500 0.418 0.728 1
La9 0.500 0.301 0.449 1
La10 0.500 0.000 0.500 1
Sm1 0.000 0.582 0.131 1
Sm2 0.000 0.918 0.631 1
Sm3 0.500 0.825 0.361 1
Sm4 0.000 0.938 0.919 1
Sm5 0.500 0.675 0.861 1
Sm6 0.000 0.418 0.869 1
Sm7 0.000 0.062 0.081 1
Sm8 0.500 0.175 0.639 1
Sm9 0.500 0.325 0.139 1
Sm10 0.000 0.082 0.369 1
Sm11 0.000 0.562 0.419 1
Sm12 0.000 0.438 0.581 1
Tb1 0.000 0.328 0.289 1
Tb2 0.000 0.172 0.789 1
Tb3 0.000 0.828 0.211 1
Tb4 0.000 0.672 0.711 1


# GGA-PBE La4TbSm4, optimized geometry
# **Fermi-level density of states**: 15.3 states/eV per cell
# **Energy**: -4.356 eV per atom
# **Energy above the most stable polymorph in this dataset**: 426 meV per atom
# **Total magnetization**: 0.000 μB per cell
data_La4TbSm4
_symmetry_space_group_name_H-M 'P 1'
_symmetry_Int_Tables_number 1
_symmetry_space_group_name_Hall 'P 1'
_cell_length_a 5.308
_cell_length_b 5.308
_cell_length_c 12.690
_cell_angle_alpha 99.40
_cell_angle_beta 99.40
_cell_angle_gamma 102.64
loop_
_atom_site_label
_atom_site_fract_x
_atom_site_fract_y
_atom_site_fract_z
_atom_site_occupancy
La1 0.218 0.218 0.437 1
La2 0.754 0.754 0.509 1
La3 0.483 0.983 0.966 1
La4 0.983 0.483 0.966 1
Sm1 0.125 0.125 0.733 1
Sm2 0.609 0.609 0.733 1
Sm3 0.801 0.452 0.253 1
Sm4 0.452 0.801 0.253 1
Tb1 0.075 0.075 0.149 1


# GGA-PBE La2Tb3Sm6, optimized geometry
# **Fermi-level density of states**: 16.2 states/eV per cell
# **Energy**: -4.467 eV per atom
# **Energy above the most stable polymorph in this dataset**: 95 meV per atom
# **Total magnetization**: 0.000 μB per cell
data_La2Tb3Sm6
_symmetry_space_group_name_H-M 'P 1'
_symmetry_Int_Tables_number 1
_symmetry_space_group_name_Hall 'P 1'
_cell_length_a 4.807
_cell_length_b 4.807
_cell_length_c 17.419
_cell_angle_alpha 97.93
_cell_angle_beta 97.93
_cell_angle_gamma 90.00
loop_
_atom_site_label
_atom_site_fract_x
_atom_site_fract_y
_atom_site_fract_z
_atom_site_occupancy
Sm1 0.699 0.699 0.398 1
Sm2 0.123 0.623 0.247 1
Sm3 0.377 0.877 0.753 1
Sm4 0.623 0.123 0.247 1
Sm5 0.877 0.377 0.753 1
Sm6 0.301 0.301 0.602 1
La1 0.455 0.455 0.909 1
La2 0.545 0.545 0.091 1
Tb1 0.800 0.800 0.599 1
Tb2 0.200 0.200 0.401 1
Tb3 0.000 0.000 0.000 1


# GGA-PBE La3Tb2Sm3, optimized geometry
# **Fermi-level density of states**: 13.7 states/eV per cell
# **Energy**: -4.752 eV per atom
# **Total magnetization**: 0.000 μB per cell
data_La3Tb2Sm3
_symmetry_space_group_name_H-M 'P 1'
_symmetry_Int_Tables_number 1
_symmetry_space_group_name_Hall 'P 1'
_cell_length_a 5.156
_cell_length_b 5.185
_cell_length_c 10.974
_cell_angle_alpha 103.66
_cell_angle_beta 103.59
_cell_angle_gamma 90.00
loop_
_atom_site_label
_atom_site_fract_x
_atom_site_fract_y
_atom_site_fract_z
_atom_site_occupancy
Sm1 0.128 0.128 0.256 1
Sm2 0.000 0.500 0.000 1
Sm3 0.872 0.872 0.744 1
La1 0.626 0.626 0.252 1
La2 0.500 0.000 0.000 1
La3 0.374 0.374 0.748 1
Tb1 0.749 0.249 0.498 1
Tb2 0.251 0.751 0.502 1


# GGA-PBE La5TbSm5, optimized geometry
# **Fermi-level density of states**: 19.3 states/eV per cell
# **Energy**: -4.578 eV per atom
# **Total magnetization**: 0.004 μB per cell
data_La5TbSm5
_symmetry_space_group_name_H-M 'P 1'
_symmetry_Int_Tables_number 1
_symmetry_space_group_name_Hall 'P 1'
_cell_length_a 6.149
_cell_length_b 10.159
_cell_length_c 7.145
_cell_angle_alpha 111.00
_cell_angle_beta 90.00
_cell_angle_gamma 107.62
loop_
_atom_site_label
_atom_site_fract_x
_atom_site_fract_y
_atom_site_fract_z
_atom_site_occupancy
Sm1 0.331 0.663 0.834 1
Sm2 0.376 0.753 0.379 1
Sm3 0.624 0.247 0.621 1
Sm4 0.000 0.000 0.500 1
Sm5 0.669 0.337 0.166 1
La1 0.500 0.000 0.000 1
La2 0.174 0.348 0.418 1
La3 0.825 0.651 0.068 1
La4 0.175 0.349 0.932 1
La5 0.826 0.652 0.582 1
Tb1 0.000 0.000 0.000 1


# GGA-PBE La5Tb2Sm3, optimized geometry
# **Fermi-level density of states**: 34.5 states/eV per cell
# **Energy**: -4.653 eV per atom
# **Total magnetization**: 0.000 μB per cell
data_La5Tb2Sm3
_symmetry_space_group_name_H-M 'P 1'
_symmetry_Int_Tables_number 1
_symmetry_space_group_name_Hall 'P 1'
_cell_length_a 10.243
_cell_length_b 10.246
_cell_length_c 11.433
_cell_angle_alpha 129.62
_cell_angle_beta 129.61
_cell_angle_gamma 64.96
loop_
_atom_site_label
_atom_site_fract_x
_atom_site_fract_y
_atom_site_fract_z
_atom_site_occupancy
Sm1 0.970 0.223 0.751 1
Sm2 0.280 0.528 0.751 1
Sm3 0.768 0.018 0.037 1
Sm4 0.720 0.472 0.249 1
Sm5 0.030 0.777 0.249 1
Sm6 0.232 0.982 0.963 1
Tb1 0.218 0.966 0.245 1
Tb2 0.782 0.034 0.755 1
Tb3 0.527 0.279 0.245 1
Tb4 0.473 0.721 0.755 1
La1 0.727 0.477 0.953 1
La2 0.027 0.777 0.553 1
La3 0.273 0.523 0.047 1
La4 0.625 0.877 0.244 1
La5 0.118 0.367 0.244 1
La6 0.882 0.633 0.756 1
La7 0.481 0.731 0.463 1
La8 0.375 0.123 0.756 1
La9 0.973 0.223 0.447 1
La10 0.519 0.269 0.537 1